Below is a geometry-optimized TbPmAlTl structure, with properties calculated at the PBE level.

Properties
For the theoretical density, the calculation gives 8.37 g/cm³. Its density of states at the Fermi level is 2.17 states/eV/cell. For the polymorph energy (0 for the lowest one), the calculation gives 0.0 meV per atom. As for the magnetic moment: 0.00 μB/cell. Its formation energy is -370 meV per atom. The energy is -16.968 eV for the cell shown.

a b c (Å): 3.707 3.707 7.730
angles (deg): 90.00 90.00 90.00
Space group P4mm (No. 99)
One atom of each set of equivalent atoms:
Tb: 0.000 0.000 0.000 x1
Pm: 0.000 0.000 0.528 x1
Al: 0.500 0.500 0.771 x1
Tl: 0.500 0.500 0.255 x1